Record 1
Ce4YSb5 after structural relaxation, computed with PBE-GGA.

Cell: 4.4822 4.4822 16.1274 Å, 97.99 97.99 90.00°
With the nearest neighbours (Å) after each atom.
Fractional coordinates of all 10 atoms:
Ce1 0.8006 0.8006 0.6011  6 Sb 3.17-3.19
Ce2 0.5992 0.5992 0.1984  6 Sb 3.14-3.18
Ce3 0.4008 0.4008 0.8016  6 Sb 3.14-3.18
Ce4 0.1994 0.1994 0.3989  6 Sb 3.17-3.19
Sb1 0.3001 0.3001 0.6003  6 Ce 3.17-3.18
Sb2 0.5000 0.5000 0.0000  2 Ce 3.14, 4 Y 3.17
Sb3 0.0987 0.0987 0.1974  1 Y 3.12, 5 Ce 3.17-3.19
Sb4 0.9013 0.9013 0.8026  1 Y 3.12, 5 Ce 3.17-3.19
Sb5 0.6999 0.6999 0.3997  6 Ce 3.17-3.18
Y1 0.0000 0.0000 0.0000  6 Sb 3.12-3.17

## Properties
Its space group is I4/mmm (139). The size of the total moment is 3.32 μB/f.u. Its uncorrected formation energy is -1024 kJ/mol of formula units. As for the density: 6.58 g/cm3. The raw total energy is -61.4 eV/cell. The value obtained for the offset from the most stable computed form is 4 meV per atom. For the calculated volume, the calculation gives 317.69 Å³ per cell.


Record 2
Ce4YSb5 after structural relaxation, computed with PBE-GGA.

Cell: 4.4760 6.3398 11.8598 Å, 105.50 100.88 90.00°
With the nearest neighbours (Å) after each atom.
Fractional coordinates of all 10 atoms:
Sb1 0.7998 0.2998 0.5996  6 Ce 3.17-3.19
Sb2 0.4022 0.9022 0.8043  2 Y 3.13, 4 Ce 3.17-3.18
Sb3 0.5978 0.0978 0.1957  2 Y 3.13, 4 Ce 3.17-3.18
Sb4 0.0000 0.5000 0.0000  4 Ce 3.16, 2 Y 3.17
Sb5 0.2002 0.7002 0.4004  6 Ce 3.17-3.19
Y1 0.0000 0.0000 0.0000  6 Sb 3.13-3.17
Ce1 0.5995 0.5995 0.1991  6 Sb 3.16-3.18
Ce2 0.8014 0.8014 0.6029  6 Sb 3.17-3.19
Ce3 0.4005 0.4005 0.8009  6 Sb 3.16-3.18
Ce4 0.1986 0.1986 0.3971  6 Sb 3.17-3.19

## Properties
Its space group is Immm (71). The size of the total moment is 3.40 μB/f.u. Its uncorrected formation energy is -1027 kJ/mol of formula units. As for the density: 6.57 g/cm3. The raw total energy is -61.5 eV/cell. The value obtained for the offset from the most stable computed form is 0 meV per atom. For the calculated volume, the calculation gives 318.02 Å³ per cell.


Record 3
Ce2Y2Sb3 after structural relaxation, computed with PBE-GGA.

Cell: 4.4564 7.4816 7.4341 Å, 99.40 90.01 107.35°
With the nearest neighbours (Å) after each atom.
Fractional coordinates of all 7 atoms:
Y1 0.8794 0.7584 0.6180  4 Sb 3.06-3.07
Y2 0.1206 0.2416 0.3820  4 Sb 3.06-3.07
Sb1 0.7409 0.4822 0.2526  3 Y 3.07, 3 Ce 3.14-3.16
Sb2 0.0000 0.0000 0.0000  2 Y 3.06, 4 Ce 3.13
Sb3 0.2591 0.5178 0.7474  3 Y 3.07, 3 Ce 3.14-3.16
Ce1 0.3777 0.7554 0.1445  5 Sb 3.13-3.16
Ce2 0.6223 0.2446 0.8555  5 Sb 3.13-3.16

## Properties
Its space group is C2/m (12). The size of the total moment is 1.98 μB/f.u. Its uncorrected formation energy is -542 kJ/mol of formula units. As for the density: 5.87 g/cm3. The raw total energy is -42.8 eV/cell. For the calculated volume, the calculation gives 233.10 Å³ per cell.


Record 4
CeY3Sb3 after structural relaxation, computed with PBE-GGA.

Cell: 5.7409 9.0997 9.0997 Å, 120.00 90.00 90.00°
With the nearest neighbours (Å) after each atom.
Fractional coordinates of all 14 atoms:
Ce1 0.7500 0.3333 0.6667  3 Sb 3.23, 3 Y 3.42
Ce2 0.2500 0.6667 0.3333  3 Sb 3.23, 3 Y 3.42
Sb1 0.2500 0.5768 0.9419  5 Y 2.99-3.34, 1 Ce 3.23
Sb2 0.2500 0.3651 0.4232  5 Y 2.99-3.34, 1 Ce 3.23
Sb3 0.7500 0.6349 0.5768  5 Y 2.99-3.34, 1 Ce 3.23
Sb4 0.7500 0.9419 0.3651  5 Y 2.99-3.34, 1 Ce 3.23
Sb5 0.7500 0.4232 0.0581  5 Y 2.99-3.34, 1 Ce 3.23
Sb6 0.2500 0.0581 0.6349  5 Y 2.99-3.34, 1 Ce 3.23
Y1 0.2500 0.9854 0.2370  5 Sb 2.99-3.34
Y2 0.2500 0.7630 0.7484  5 Sb 2.99-3.34
Y3 0.2500 0.2516 0.0146  5 Sb 2.99-3.34
Y4 0.7500 0.7484 0.9854  5 Sb 2.99-3.34
Y5 0.7500 0.0146 0.7630  5 Sb 2.99-3.34
Y6 0.7500 0.2370 0.2516  5 Sb 2.99-3.34

## Properties
Its space group is P6_3/m (176). The size of the total moment is 1.83 μB/f.u. Its uncorrected formation energy is -546 kJ/mol of formula units. As for the density: 6.23 g/cm3. The raw total energy is -86.7 eV/cell. The value obtained for the offset from the most stable computed form is 184 meV per atom. For the calculated volume, the calculation gives 411.69 Å³ per cell.


Record 5
CeY3Sb3 after structural relaxation, computed with PBE-GGA.

Cell: 9.2863 9.2862 9.2863 Å, 90.00 90.00 90.00°
With the nearest neighbours (Å) after each atom.
Fractional coordinates of all 28 atoms:
Y1 0.5763 0.0763 0.4237  6 Sb 3.09-3.34
Y2 0.9237 0.9237 0.9237  6 Sb 3.09-3.34
Y3 0.6803 0.3197 0.8197  6 Sb 3.10-3.31
Y4 0.3197 0.8197 0.6803  6 Sb 3.10-3.31
Y5 0.4237 0.5763 0.0763  6 Sb 3.09-3.34
Y6 0.8207 0.3207 0.1793  6 Sb 3.08-3.32
Y7 0.1793 0.8207 0.3207  6 Sb 3.08-3.32
Y8 0.8197 0.6803 0.3197  6 Sb 3.10-3.31
Y9 0.3207 0.1793 0.8207  6 Sb 3.08-3.32
Y10 0.1803 0.1803 0.1803  6 Sb 3.10-3.31
Y11 0.0763 0.4237 0.5763  6 Sb 3.09-3.34
Y12 0.6793 0.6793 0.6793  6 Sb 3.08-3.32
Sb1 0.6206 0.9995 0.7447  6 Y 3.08-3.34, 2 Ce 3.14-3.35
Sb2 0.7553 0.3794 0.4995  6 Y 3.08-3.34, 2 Ce 3.14-3.35
Sb3 0.0005 0.2447 0.8794  6 Y 3.08-3.34, 2 Ce 3.14-3.35
Sb4 0.2447 0.8794 0.0005  6 Y 3.08-3.34, 2 Ce 3.14-3.35
Sb5 0.9995 0.7447 0.6206  6 Y 3.08-3.34, 2 Ce 3.14-3.35
Sb6 0.4995 0.7553 0.3794  6 Y 3.08-3.34, 2 Ce 3.14-3.35
Sb7 0.7447 0.6206 0.9995  6 Y 3.08-3.34, 2 Ce 3.14-3.35
Sb8 0.1206 0.5005 0.2553  6 Y 3.08-3.34, 2 Ce 3.14-3.35
Sb9 0.5005 0.2553 0.1206  6 Y 3.08-3.34, 2 Ce 3.14-3.35
Sb10 0.3794 0.4995 0.7553  6 Y 3.08-3.34, 2 Ce 3.14-3.35
Sb11 0.2553 0.1206 0.5005  6 Y 3.08-3.34, 2 Ce 3.14-3.35
Sb12 0.8794 0.0005 0.2447  6 Y 3.08-3.34, 2 Ce 3.14-3.35
Ce1 0.9287 0.0713 0.5713  6 Sb 3.14-3.35
Ce2 0.5713 0.9287 0.0713  6 Sb 3.14-3.35
Ce3 0.4287 0.4287 0.4287  6 Sb 3.14-3.35
Ce4 0.0713 0.5713 0.9287  6 Sb 3.14-3.35

## Properties
Its space group is P2_13 (198). The size of the total moment is 1.67 μB/f.u. Its uncorrected formation energy is -670 kJ/mol of formula units. As for the density: 6.40 g/cm3. The raw total energy is -178.5 eV/cell. The value obtained for the offset from the most stable computed form is 0 meV per atom. For the calculated volume, the calculation gives 800.79 Å³ per cell.


Record 6
Ce5YSb4 after structural relaxation, computed with PBE-GGA.

Cell: 4.3622 8.6985 9.7911 Å, 106.16 102.87 90.00°
With the nearest neighbours (Å) after each atom.
Fractional coordinates of all 10 atoms:
Sb1 0.0114 0.2545 0.0228  2 Y 3.07, 4 Ce 3.10-3.16
Sb2 0.6685 0.0827 0.3371  1 Y 3.09, 5 Ce 3.13-3.15
Sb3 0.3315 0.9173 0.6629  1 Y 3.09, 5 Ce 3.13-3.15
Sb4 0.9886 0.7455 0.9772  2 Y 3.07, 4 Ce 3.10-3.16
Ce1 0.8396 0.1825 0.6792  4 Sb 3.13-3.16
Ce2 0.1815 0.3486 0.3631  3 Sb 3.12-3.14
Ce3 0.1604 0.8175 0.3208  4 Sb 3.13-3.16
Ce4 0.8185 0.6514 0.6369  3 Sb 3.12-3.14
Ce5 0.5000 0.5000 0.0000  4 Sb 3.10
Y1 0.5000 0.0000 0.0000  6 Sb 3.07-3.09

## Properties
Its space group is C2/m (12). The size of the total moment is 7.91 μB/f.u. Its uncorrected formation energy is -581 kJ/mol of formula units. As for the density: 6.11 g/cm3. The raw total energy is -58.6 eV/cell. For the calculated volume, the calculation gives 347.10 Å³ per cell.


Repeat the fifth record exactly.
CeY3Sb3 after structural relaxation, computed with PBE-GGA.

Cell: 9.2863 9.2862 9.2863 Å, 90.00 90.00 90.00°
With the nearest neighbours (Å) after each atom.
Fractional coordinates of all 28 atoms:
Y1 0.5763 0.0763 0.4237  6 Sb 3.09-3.34
Y2 0.9237 0.9237 0.9237  6 Sb 3.09-3.34
Y3 0.6803 0.3197 0.8197  6 Sb 3.10-3.31
Y4 0.3197 0.8197 0.6803  6 Sb 3.10-3.31
Y5 0.4237 0.5763 0.0763  6 Sb 3.09-3.34
Y6 0.8207 0.3207 0.1793  6 Sb 3.08-3.32
Y7 0.1793 0.8207 0.3207  6 Sb 3.08-3.32
Y8 0.8197 0.6803 0.3197  6 Sb 3.10-3.31
Y9 0.3207 0.1793 0.8207  6 Sb 3.08-3.32
Y10 0.1803 0.1803 0.1803  6 Sb 3.10-3.31
Y11 0.0763 0.4237 0.5763  6 Sb 3.09-3.34
Y12 0.6793 0.6793 0.6793  6 Sb 3.08-3.32
Sb1 0.6206 0.9995 0.7447  6 Y 3.08-3.34, 2 Ce 3.14-3.35
Sb2 0.7553 0.3794 0.4995  6 Y 3.08-3.34, 2 Ce 3.14-3.35
Sb3 0.0005 0.2447 0.8794  6 Y 3.08-3.34, 2 Ce 3.14-3.35
Sb4 0.2447 0.8794 0.0005  6 Y 3.08-3.34, 2 Ce 3.14-3.35
Sb5 0.9995 0.7447 0.6206  6 Y 3.08-3.34, 2 Ce 3.14-3.35
Sb6 0.4995 0.7553 0.3794  6 Y 3.08-3.34, 2 Ce 3.14-3.35
Sb7 0.7447 0.6206 0.9995  6 Y 3.08-3.34, 2 Ce 3.14-3.35
Sb8 0.1206 0.5005 0.2553  6 Y 3.08-3.34, 2 Ce 3.14-3.35
Sb9 0.5005 0.2553 0.1206  6 Y 3.08-3.34, 2 Ce 3.14-3.35
Sb10 0.3794 0.4995 0.7553  6 Y 3.08-3.34, 2 Ce 3.14-3.35
Sb11 0.2553 0.1206 0.5005  6 Y 3.08-3.34, 2 Ce 3.14-3.35
Sb12 0.8794 0.0005 0.2447  6 Y 3.08-3.34, 2 Ce 3.14-3.35
Ce1 0.9287 0.0713 0.5713  6 Sb 3.14-3.35
Ce2 0.5713 0.9287 0.0713  6 Sb 3.14-3.35
Ce3 0.4287 0.4287 0.4287  6 Sb 3.14-3.35
Ce4 0.0713 0.5713 0.9287  6 Sb 3.14-3.35

## Properties
Its space group is P2_13 (198). The size of the total moment is 1.67 μB/f.u. Its uncorrected formation energy is -670 kJ/mol of formula units. As for the density: 6.40 g/cm3. The raw total energy is -178.5 eV/cell. The value obtained for the offset from the most stable computed form is 0 meV per atom. For the calculated volume, the calculation gives 800.79 Å³ per cell.